[1]
ZrTl4Rh after structural relaxation, computed with PBE-GGA.

```
ZrTl4Rh
1.0
0.000 4.220 4.220
4.220 0.000 4.220
4.220 4.220 0.000
Zr Tl Rh
1 4 1
Cartesian
0.000 0.000 0.000
3.167 3.167 3.167
5.273 5.273 3.167
5.273 3.167 5.273
3.167 5.273 5.273
6.330 6.330 6.330
```

Computed properties:
calculated total energy: -0.25819 Ry/atom
magnetization: 0.0 Bohr magnetons per cell
E_form: 0.7146 eV/atom
crystal system: cubic



[2]
ZrTlRh3 after structural relaxation, computed with PBE-GGA.

```
ZrTlRh3
1.0
4.840 0.000 0.000
0.000 4.840 0.000
0.000 0.000 4.840
Zr Tl Rh
1 1 3
Cartesian
0.000 0.000 0.000
2.420 2.420 2.420
0.000 0.000 2.420
0.000 2.420 0.000
2.420 0.000 0.000
```

Computed properties:
calculated total energy: -0.43459 Ry/atom
offset from the most stable computed form: 0.00 eV/f.u.
magnetization: 0.0 Bohr magnetons per cell
E_form: 0.6808 eV/atom
crystal system: cubic



[3]
ZrTlRh after structural relaxation, computed with PBE-GGA.

```
ZrTlRh
1.0
0.000 3.223 3.223
3.223 0.000 3.223
3.223 3.223 0.000
Zr Tl Rh
1 1 1
Cartesian
0.000 0.000 0.000
3.223 3.223 3.223
1.612 1.612 1.612
```

Computed properties:
calculated total energy: -0.46357 Ry/atom
magnetization: 0.4 Bohr magnetons per cell
E_form: -0.2186 eV/atom
crystal system: cubic



[4]
Zr6Tl3Rh after structural relaxation, computed with PBE-GGA.

```
Zr6Tl3Rh
1.0
5.197 -2.960 0.000
5.197 2.960 0.000
-2.304 0.000 7.510
Zr Tl Rh
6 3 1
Cartesian
3.365 1.509 1.311
0.425 0.000 3.191
4.725 1.509 6.199
3.365 -1.509 1.311
7.665 0.000 4.319
4.725 -1.509 6.199
2.061 0.000 6.029
4.045 0.000 3.755
6.028 0.000 1.482
0.000 0.000 0.000
```

Computed properties:
calculated total energy: -0.47876 Ry/atom
magnetization: 0.0 Bohr magnetons per cell
E_form: 0.0601 eV/atom
crystal system: monoclinic



[5]
ZrTlRh after structural relaxation, computed with PBE-GGA.

```
ZrTlRh
1.0
-1.622 1.622 5.683
1.622 -1.622 5.683
1.622 1.622 -5.683
Zr Tl Rh
1 1 1
Cartesian
0.000 0.000 0.000
0.000 0.000 7.909
0.000 0.000 4.141
```

Computed properties:
calculated total energy: -0.46917 Ry/atom
magnetization: 0.0 Bohr magnetons per cell
E_form: -0.2948 eV/atom
crystal system: tetragonal



[6]
ZrTl3Rh after structural relaxation, computed with PBE-GGA.

```
ZrTl3Rh
1.0
5.140 0.000 0.000
0.000 5.140 0.000
0.000 0.000 5.140
Zr Tl Rh
1 3 1
Cartesian
0.000 0.000 0.000
0.000 2.570 2.570
2.570 0.000 2.570
2.570 2.570 0.000
2.570 2.570 2.570
```

Computed properties:
calculated total energy: -0.29668 Ry/atom
offset from the most stable computed form: 0.00 eV/f.u.
magnetization: 0.0 Bohr magnetons per cell
E_form: 0.5631 eV/atom
crystal system: cubic



[7]
Zr5TlRh after structural relaxation, computed with PBE-GGA.

```
Zr5TlRh
1.0
5.130 -2.929 0.000
5.130 2.929 0.000
-4.587 0.000 10.563
Zr Tl Rh
10 2 2
Cartesian
-0.802 0.130 7.197
1.690 1.598 7.922
1.491 -0.130 1.915
-1.185 0.047 10.161
1.109 -0.047 4.879
4.565 0.047 5.684
6.859 -0.047 0.402
4.182 0.130 8.648
3.984 -1.598 2.641
6.476 -0.130 3.366
3.984 1.341 2.641
1.690 -1.341 7.922
0.000 0.000 0.000
-2.294 0.000 5.282
```

Computed properties:
calculated total energy: -0.54845 Ry/atom
magnetization: 0.0 Bohr magnetons per cell
E_form: 0.0321 eV/atom
crystal system: monoclinic



[8]
Zr3TlRh after structural relaxation, computed with PBE-GGA.

```
Zr3TlRh
1.0
5.040 0.000 0.000
0.000 5.040 0.000
0.000 0.000 5.040
Zr Tl Rh
3 1 1
Cartesian
0.000 0.000 2.520
0.000 2.520 0.000
2.520 0.000 0.000
2.520 2.520 2.520
0.000 0.000 0.000
```

Computed properties:
calculated total energy: -0.51035 Ry/atom
offset from the most stable computed form: 0.00 eV/f.u.
magnetization: 0.0 Bohr magnetons per cell
E_form: 0.1288 eV/atom
crystal system: cubic